Entry 1:
GdPuAgOs | PBE-GGA | relaxed

a b c (Å): 7.036 7.036 7.036
angles (deg): 90.00 90.00 90.00
Space group F-43m (No. 216)
Inequivalent atoms, fractional coordinates:
Gd 0.000 0.000 0.000 x4
Pu 0.000 0.000 0.500 x4
Ag 0.250 0.250 0.750 x4
Os 0.250 0.250 0.250 x4

Values from the calculation:
Its energy relative to the elements is -2.1 kJ/mol of atoms. Its total magnetic moment is 50.02 μB/cell. The volume is 348.3 Å³ per cell.

=====

Entry 2:
Na2YF6 | PBE-GGA | relaxed

a b c (Å): 14.245 4.239 4.239
angles (deg): 90.00 107.28 90.00
Space group C2/m (No. 12)
Inequivalent atoms, fractional coordinates:
Na 0.250 0.000 0.250 x4
Y 0.000 0.000 0.500 x2
F 0.081 0.000 0.082 x4
F 0.081 0.500 0.584 x4
F 0.196 0.000 0.696 x4

Values from the calculation:
Its total magnetic moment is 2.01 μB/cell. Its formation energy without anion corrections is -2.919 eV per atom. The volume is 244.4 Å³ per cell.

=====

Entry 3:
NpSi4Ir | PBE-GGA | relaxed

a b c (Å): 4.495 17.535 5.410
angles (deg): 90.00 90.00 90.00
Space group Cmcm (No. 63)
Inequivalent atoms, fractional coordinates:
Np 0.000 0.117 0.250 x4
Si 0.000 0.154 0.750 x4
Si 0.000 0.278 0.525 x8
Si 0.000 0.500 0.000 x4
Ir 0.000 0.390 0.250 x4

Values from the calculation:
Its total magnetic moment is 17.14 μB/cell. Its formation energy without anion corrections is -0.173 eV per atom. The volume is 426.4 Å³ per cell.

=====

Entry 4:
MnSiTc2Pt | PBE-GGA | relaxed

a b c (Å): 4.348 4.348 4.153
angles (deg): 90.00 90.00 90.00
Space group P4/mmm (No. 123)
Inequivalent atoms, fractional coordinates:
Mn 0.000 0.000 0.000 x1
Si 0.000 0.000 0.500 x1
Tc 0.000 0.500 0.500 x2
Pt 0.500 0.500 0.000 x1

Values from the calculation:
Its total magnetic moment is 0.00 μB/cell. Its formation energy without anion corrections is 0.871 eV per atom. The volume is 78.5 Å³ per cell.

=====

Entry 5:
Ba2MgCl | PBE-GGA | relaxed

a b c (Å): 8.920 8.920 9.401
angles (deg): 90.00 90.00 90.00
Space group I-42d (No. 122)
Inequivalent atoms, fractional coordinates:
Ba 0.204 0.250 0.125 x8
Mg 0.000 0.000 0.500 x4
Cl 0.000 0.000 0.000 x4

Values from the calculation:
Its total magnetic moment is 0.00 μB/cell. Its formation energy without anion corrections is -0.724 eV per atom. The volume is 748.0 Å³ per cell.

=====

Entry 6:
Tl3VTc | PBE-GGA | relaxed

a b c (Å): 5.278 5.278 5.278
angles (deg): 90.00 90.00 90.00
Space group Pm-3m (No. 221)
Inequivalent atoms, fractional coordinates:
Tl 0.000 0.000 0.500 x3
V 0.500 0.500 0.500 x1
Tc 0.000 0.000 0.000 x1

Values from the calculation:
Its energy relative to the elements is 103.8 kJ/mol of atoms. Its total magnetic moment is 4.89 μB/cell. The volume is 147.0 Å³ per cell.

=====

Entry 7:
YIn2Ir | PBE-GGA | relaxed

a b c (Å): 4.7299 4.7299 14.2616
angles (deg): 90.00 90.00 120.00
Space group R3m (No. 160, hexagonal axes)
Inequivalent atoms, fractional coordinates:
Y 0.0000 0.0000 0.0000 x3
In 0.0000 0.0000 0.5553 x3
In 0.0000 0.0000 0.7829 x3
Ir 0.0000 0.0000 0.1975 x3

Values from the calculation:
Its energy relative to the elements is -40.6 kJ/mol of atoms. Its total magnetic moment is 0.00 μB/cell. The volume is 276.3 Å³ per cell.

=====

Entry 8:
MnNbBr3 | PBE-GGA | relaxed

a b c (Å): 5.378 5.378 5.378
angles (deg): 90.00 90.00 90.00
Space group Pm-3m (No. 221)
Inequivalent atoms, fractional coordinates:
Mn 0.000 0.000 0.000 x1
Nb 0.500 0.500 0.500 x1
Br 0.000 0.500 0.500 x3

Values from the calculation:
Its total magnetic moment is 8.42 μB/cell. Its formation energy without anion corrections is 0.182 eV per atom. The volume is 155.6 Å³ per cell.

=====

Entry 9:
DyPa4N7 | PBE-GGA | relaxed

a b c (Å): 11.371 3.390 9.543
angles (deg): 90.00 106.68 90.00
Space group Cm (No. 8)
Inequivalent atoms, fractional coordinates:
Dy 0.000 0.000 0.000 x2
Pa 0.111 0.000 0.417 x2
Pa 0.222 0.000 0.839 x2
Pa 0.304 0.500 0.224 x2
Pa 0.415 0.000 0.607 x2
N 0.058 0.000 0.626 x2
N 0.116 0.500 0.913 x2
N 0.164 0.000 0.213 x2
N 0.268 0.500 0.456 x2
N 0.342 0.500 0.772 x2
N 0.363 0.000 0.060 x2
N 0.456 0.000 0.379 x2

Values from the calculation:
Its total magnetic moment is 0.00 μB/cell. Its formation energy without anion corrections is -1.584 eV per atom. The volume is 352.4 Å³ per cell.

=====

Entry 10:
Ac3HgPb2 | PBE-GGA | relaxed

a b c (Å): 13.513 5.011 13.087
angles (deg): 90.00 90.00 90.00
Space group Pnma (No. 62)
Inequivalent atoms, fractional coordinates:
Ac 0.045 0.250 0.128 x4
Ac 0.131 0.750 0.561 x4
Ac 0.212 0.250 0.807 x4
Hg 0.145 0.250 0.354 x4
Pb 0.006 0.750 0.322 x4
Pb 0.184 0.750 0.019 x4

Values from the calculation:
Its energy relative to the elements is -47.2 kJ/mol of atoms. Its total magnetic moment is 0.00 μB/cell. The volume is 886.2 Å³ per cell.

=====

Entry 11:
NbNi2AsH | PBE-GGA | relaxed

a b c (Å): 3.719 3.719 4.140
angles (deg): 90.00 90.00 90.00
Space group P4/mmm (No. 123)
Inequivalent atoms, fractional coordinates:
Nb 0.000 0.000 0.000 x1
Ni 0.000 0.500 0.500 x2
As 0.500 0.500 0.000 x1
H 0.000 0.000 0.500 x1

Values from the calculation:
Its total magnetic moment is 0.00 μB/cell. The volume is 57.3 Å³ per cell.

=====

Entry 12:
CdCuSb2As | PBE-GGA | relaxed

a b c (Å): 5.524 5.524 5.067
angles (deg): 90.00 90.00 90.00
Space group P4/mmm (No. 123)
Inequivalent atoms, fractional coordinates:
Cd 0.000 0.000 0.000 x1
Cu 0.500 0.500 0.500 x1
Sb 0.000 0.500 0.000 x2
As 0.000 0.000 0.500 x1

Values from the calculation:
Its total magnetic moment is 0.00 μB/cell. Its formation energy without anion corrections is 1.129 eV per atom. The volume is 154.6 Å³ per cell.

=====

Respective total DFT energy (no corrections) values: -0.782 -0.381 -0.545 -0.544 -0.187 -0.312 -0.413 -0.343 -0.734 -0.281 -0.450 -0.180 Ry/atom.